The following is a GGA-PBE calculation of a geometry-optimized MnBeGe structure, from Alexandria via LeMat-Bulk.

Lattice parameters (Å, degrees): 4.890 3.538 8.150 90.00 105.37 90.00
Each line ends with the local moment (μB).
Positions (direct):
Mn  0.151  0.500  0.386  0.87
Mn  0.558  0.500  0.140  0.85
Ge  0.422  0.500  0.812  -0.04
Ge  0.422  0.000  0.312  -0.04
Ge  0.025  0.000  0.573  -0.05
Ge  0.025  0.500  0.073  -0.05
Be  0.701  0.500  0.455  -0.03
Mn  0.151  0.000  0.886  0.87
Mn  0.558  0.000  0.640  0.85
Be  0.866  0.500  0.748  -0.02
Be  0.701  0.000  0.955  -0.03
Be  0.866  0.000  0.248  -0.02

The space-group type is Cm, No. 8. The calculation puts the formation energy from the elements at -5 kJ/mol of formula units. The total energy is -70.3 eV/cell. Its density is 6.673 g cm⁻³.

The following is a GGA-PBE calculation of a geometry-optimized MnBeGe structure, from Alexandria via LeMat-Bulk.

Lattice parameters (Å, degrees): 7.935 4.512 7.764 90.00 90.00 90.00
Each line ends with the local moment (μB).
Positions (direct):
Be  0.750  0.750  0.433  -0.05
Mn  0.000  0.500  0.500  1.02
Ge  0.000  0.500  0.165  -0.07
Ge  0.500  0.000  0.165  -0.07
Ge  0.000  0.000  0.665  -0.07
Be  0.750  0.250  0.933  -0.05
Ge  0.500  0.000  0.835  -0.07
Ge  0.500  0.500  0.665  -0.07
Mn  0.750  0.750  0.750  1.34
Ge  0.000  0.000  0.335  -0.07
Mn  0.500  0.000  0.500  1.02
Mn  0.750  0.250  0.250  1.34
Mn  0.250  0.750  0.250  1.34
Be  0.750  0.750  0.067  -0.05
Mn  0.500  0.500  0.000  1.02
Be  0.250  0.750  0.933  -0.05
Be  0.750  0.250  0.567  -0.05
Ge  0.000  0.500  0.835  -0.07
Be  0.250  0.250  0.433  -0.05
Ge  0.500  0.500  0.335  -0.07
Be  0.250  0.250  0.067  -0.05
Mn  0.250  0.250  0.750  1.34
Be  0.250  0.750  0.567  -0.05
Mn  0.000  0.000  0.000  1.02

The space-group type is F222, No. 22. The calculation puts the formation energy from the elements at 5 kJ/mol of formula units. The total energy is -139.7 eV/cell. Its density is 6.529 g cm⁻³.

The following is a GGA-PBE calculation of a geometry-optimized Mn2Be2Ge structure, from Alexandria via LeMat-Bulk.

Lattice parameters (Å, degrees): 5.731 5.731 3.003 90.00 90.00 90.00
Positions (direct):
Be  0.621  0.121  0.000
Mn  0.826  0.326  0.500
Mn  0.674  0.826  0.500
Be  0.879  0.621  0.000
Ge  0.500  0.500  0.000
Mn  0.174  0.674  0.500
Be  0.379  0.879  0.000
Be  0.121  0.379  0.000
Ge  0.000  0.000  0.000
Mn  0.326  0.174  0.500

The space-group type is P4/mbm, No. 127. The calculation puts the formation energy from the elements at -42 kJ/mol of formula units. The total energy is -61.7 eV/cell. Its density is 6.752 g cm⁻³.

The following is a GGA-PBE calculation of a geometry-optimized MnBe2Ge structure, from Alexandria via LeMat-Bulk.

Lattice parameters (Å, degrees): 3.453 3.528 3.528 90.00 90.00 90.00
Each line ends with the local moment (μB).
Positions (direct):
Ge  0.500  0.000  0.000  -0.01
Mn  0.500  0.500  0.500  2.30
Be  0.000  0.500  0.000  -0.04
Be  0.000  0.000  0.500  -0.04

The space-group type is P4/mmm, No. 123. The calculation puts the formation energy from the elements at -15 kJ/mol of formula units. The total energy is -21.4 eV/cell. Its density is 5.627 g cm⁻³.

The following is a GGA-PBE calculation of a geometry-optimized MnBe3Ge structure, from Alexandria via LeMat-Bulk.

Lattice parameters (Å, degrees): 4.060 4.060 4.060 90.00 90.00 90.00
Each line ends with the local moment (μB).
Positions (direct):
Be  0.000  0.000  0.500  -0.01
Ge  0.500  0.500  0.500  -0.02
Be  0.000  0.500  0.000  -0.01
Be  0.500  0.000  0.000  -0.02
Mn  0.000  0.000  0.000  0.76

The space-group type is Pm-3m, No. 221. The calculation puts the formation energy from the elements at 484 kJ/mol of formula units. The total energy is -19.9 eV/cell. Its density is 3.837 g cm⁻³.

The following is a GGA-PBE calculation of a geometry-optimized Mn5Be2GeMo2 structure, from Alexandria via LeMat-Bulk.

Lattice parameters (Å, degrees): 3.156 8.618 8.618 90.00 90.00 90.00
Each line ends with the local moment (μB).
Positions (direct):
Mn  0.500  0.567  0.711  1.68
Mn  0.500  0.289  0.567  1.68
Mn  0.500  0.711  0.433  1.68
Ge  0.000  0.000  0.000  -0.07
Be  0.000  0.622  0.878  -0.05
Ge  0.000  0.500  0.500  -0.07
Mn  0.500  0.000  0.500  0.82
Be  0.000  0.878  0.378  -0.05
Mo  0.000  0.327  0.827  -0.58
Be  0.000  0.378  0.122  -0.05
Be  0.000  0.122  0.622  -0.05
Mn  0.500  0.789  0.933  1.68
Mn  0.500  0.433  0.289  1.68
Mn  0.500  0.067  0.789  1.68
Mo  0.000  0.673  0.173  -0.58
Mn  0.500  0.933  0.211  1.68
Mn  0.500  0.500  0.000  0.82
Mo  0.000  0.827  0.673  -0.58
Mn  0.500  0.211  0.067  1.68
Mo  0.000  0.173  0.327  -0.58

The space-group type is P4/mbm, No. 127. The calculation puts the formation energy from the elements at -18 kJ/mol of formula units. The total energy is -159.5 eV/cell. Its density is 7.895 g cm⁻³.

The following is a GGA-PBE calculation of a geometry-optimized NaMnBeGe2 structure, from Alexandria via LeMat-Bulk.

Lattice parameters (Å, degrees): 4.565 5.359 4.565 90.00 90.00 90.00
Each line ends with the local moment (μB).
Positions (direct):
Na  0.000  0.500  0.000  0.02
Ge  0.000  0.000  0.500  -0.09
Mn  0.000  0.000  0.000  1.95
Be  0.500  0.500  0.500  -0.01
Ge  0.500  0.000  0.000  -0.13

The space-group type is P4/mmm, No. 123. The calculation puts the formation energy from the elements at 400 kJ/mol of formula units. The total energy is -19.3 eV/cell. Its density is 3.453 g cm⁻³.

The following is a GGA-PBE calculation of a geometry-optimized Mn5Be2Nb2Ge structure, from Alexandria via LeMat-Bulk.

Lattice parameters (Å, degrees): 3.269 8.699 8.699 90.00 90.00 90.00
Each line ends with the local moment (μB).
Positions (direct):
Mn  0.500  0.000  0.500  1.07
Ge  0.000  0.500  0.500  -0.07
Mn  0.500  0.213  0.067  1.96
Be  0.000  0.620  0.880  -0.07
Nb  0.000  0.175  0.325  -0.61
Nb  0.000  0.675  0.175  -0.61
Mn  0.500  0.433  0.287  1.96
Be  0.000  0.380  0.120  -0.07
Mn  0.500  0.933  0.213  1.96
Mn  0.500  0.500  0.000  1.07
Mn  0.500  0.567  0.713  1.96
Mn  0.500  0.067  0.787  1.96
Nb  0.000  0.325  0.825  -0.61
Mn  0.500  0.287  0.567  1.96
Mn  0.500  0.713  0.433  1.96
Be  0.000  0.880  0.380  -0.07
Mn  0.500  0.787  0.933  1.96
Nb  0.000  0.825  0.675  -0.61
Ge  0.000  0.000  0.000  -0.07
Be  0.000  0.120  0.620  -0.07

The space-group type is P4/mbm, No. 127. The calculation puts the formation energy from the elements at -126 kJ/mol of formula units. The total energy is -158.7 eV/cell. Its density is 7.400 g cm⁻³.

The following is a GGA-PBE calculation of a geometry-optimized MnBe2NiGe structure, from Alexandria via LeMat-Bulk.

Lattice parameters (Å, degrees): 4.011 4.305 4.011 90.00 90.00 90.00
Each line ends with the local moment (μB).
Positions (direct):
Mn  0.500  0.500  0.500  3.82
Be  0.500  0.000  0.000  -0.01
Ni  0.000  0.000  0.000  -0.01
Ge  0.000  0.500  0.000  -0.04
Be  0.000  0.000  0.500  -0.01

The space-group type is P4/mmm, No. 123. The calculation puts the formation energy from the elements at 202 kJ/mol of formula units. The total energy is -24.9 eV/cell. Its density is 4.897 g cm⁻³.

The following is a GGA-PBE calculation of a geometry-optimized Mn2Be2Ni5Ge structure, from Alexandria via LeMat-Bulk.

Lattice parameters (Å, degrees): 3.232 8.316 8.316 90.00 90.00 90.00
Each line ends with the local moment (μB).
Positions (direct):
Mn  0.000  0.675  0.175  3.52
Be  0.000  0.120  0.620  -0.05
Be  0.000  0.620  0.880  -0.05
Ni  0.500  0.570  0.710  0.29
Mn  0.000  0.325  0.825  3.52
Ni  0.500  0.070  0.790  0.29
Ni  0.500  0.000  0.500  0.39
Mn  0.000  0.825  0.675  3.52
Be  0.000  0.380  0.120  -0.05
Ni  0.500  0.290  0.570  0.29
Ni  0.500  0.210  0.070  0.29
Ge  0.000  0.500  0.500  -0.04
Mn  0.000  0.175  0.325  3.52
Ni  0.500  0.430  0.290  0.29
Ni  0.500  0.930  0.210  0.29
Ge  0.000  0.000  0.000  -0.04
Ni  0.500  0.500  0.000  0.39
Ni  0.500  0.790  0.930  0.29
Ni  0.500  0.710  0.430  0.29
Be  0.000  0.880  0.380  -0.05

The space-group type is P4/mbm, No. 127. The calculation puts the formation energy from the elements at -223 kJ/mol of formula units. The total energy is -123.3 eV/cell. Its density is 7.340 g cm⁻³.

The following is a GGA-PBE calculation of a geometry-optimized Np2MnBe3Ge4 structure, from Alexandria via LeMat-Bulk.

Lattice parameters (Å, degrees): 3.989 3.989 9.943 90.00 90.00 90.00
Each line ends with the local moment (μB).
Positions (direct):
Be  0.000  0.000  0.500  -0.04
Ge  0.500  0.000  0.642  -0.05
Be  0.000  0.500  0.128  -0.01
Be  0.500  0.000  0.872  -0.01
Ge  0.000  0.500  0.358  -0.05
Np  0.000  0.500  0.761  3.80
Np  0.500  0.000  0.239  3.80
Ge  0.500  0.500  0.000  -0.02
Ge  0.000  0.000  0.000  -0.02
Mn  0.500  0.500  0.500  2.69

The space-group type is P-4m2, No. 115. The calculation puts the formation energy from the elements at -86 kJ/mol of formula units. The total energy is -65.6 eV/cell. Its density is 8.884 g cm⁻³.

Look up the density of the fifth one.
3.837 g cm⁻³